(1)
Density functional theory data (PBE-GGA) for an optimized crystal structure of ErGa2Cu3.

DOS(E_F): 8.33 states/eV per cell
Formation energy from the elements: -0.33 eV/atom

POSCAR file:
```
ErGa2Cu3
1.0
7.9612 -1.9779 0.0000
7.9612 1.9779 0.0000
-2.4786 0.0000 9.3001
Er Ga Cu
3 6 9
Direct
0.0000 0.0000 0.0000
0.1558 0.1558 0.7098
0.8442 0.8442 0.2902
0.2076 0.2076 0.0944
0.3480 0.3480 0.5342
0.4839 0.4839 0.2356
0.5161 0.5161 0.7644
0.6520 0.6520 0.4658
0.7924 0.7924 0.9056
0.0523 0.0523 0.3713
0.2089 0.2089 0.3543
0.3532 0.3532 0.0501
0.3672 0.3672 0.8022
0.5000 0.5000 0.5000
0.6328 0.6328 0.1978
0.6468 0.6468 0.9499
0.7911 0.7911 0.6457
0.9477 0.9477 0.6287
```


(2)
Density functional theory data (PBE-GGA) for an optimized crystal structure of Er8GaCu2.

DOS(E_F): 15.42 states/eV per cell
Formation energy from the elements: -0.07 eV/atom

POSCAR file:
```
Er8GaCu2
1.0
4.2536 -6.6889 0.0000
4.2536 6.6889 0.0000
-1.5751 0.0000 5.0600
Er Ga Cu
8 1 2
Direct
0.0000 0.0000 0.0000
0.0520 0.3010 0.5964
0.1557 0.6165 0.1920
0.3010 0.0520 0.5964
0.4703 0.7192 0.7896
0.6165 0.1557 0.1920
0.7192 0.4703 0.7896
0.7703 0.7703 0.3832
0.3855 0.3855 0.1806
0.0793 0.6908 0.6915
0.6908 0.0793 0.6915
```


(3)
Density functional theory data (PBE-GGA) for an optimized crystal structure of Er2Ga6Cu3.

DOS(E_F): 3.50 states/eV per cell
Formation energy from the elements: -0.38 eV/atom

POSCAR file:
```
Er2Ga6Cu3
1.0
7.5203 0.0000 0.0000
-3.7602 6.5128 0.0000
0.0000 0.0000 4.0015
Er Ga Cu
2 6 3
Direct
0.3333 0.6667 0.0000
0.6667 0.3333 0.0000
0.0000 0.3137 0.5000
0.0000 0.8044 0.0000
0.1956 0.1956 0.0000
0.3137 0.0000 0.5000
0.6863 0.6863 0.5000
0.8044 0.0000 0.0000
0.0000 0.6318 0.5000
0.3682 0.3682 0.5000
0.6318 0.0000 0.5000
```


(4)
Density functional theory data (PBE-GGA) for an optimized crystal structure of ErGa5Cu7.

DOS(E_F): 4.37 states/eV per cell
Formation energy from the elements: -0.16 eV/atom

POSCAR file:
```
ErGa5Cu7
1.0
-2.5862 4.3487 4.2288
2.5862 -4.3487 4.2288
2.5862 4.3487 -4.2288
Er Ga Cu
1 5 7
Direct
0.0000 0.0000 0.0000
0.0081 0.4998 0.0125
0.0081 0.9956 0.5083
0.4873 0.4998 0.4917
0.4873 0.9956 0.9875
0.7839 0.2839 0.5000
0.2115 0.7115 0.5000
0.2147 0.4966 0.7181
0.3539 0.3539 0.0000
0.3546 0.0016 0.3531
0.6485 0.0016 0.6469
0.6524 0.6524 0.0000
0.7785 0.4966 0.2819
```


(5)
Density functional theory data (PBE-GGA) for an optimized crystal structure of ErGa2Cu.

DOS(E_F): 1.80 states/eV per cell
Formation energy from the elements: -0.37 eV/atom

POSCAR file:
```
ErGa2Cu
1.0
4.1564 0.0000 0.0000
0.0000 4.1564 0.0000
0.0000 0.0000 4.1956
Er Ga Cu
1 2 1
Direct
0.0000 0.0000 0.0000
0.0000 0.5000 0.5000
0.5000 0.0000 0.5000
0.5000 0.5000 0.0000
```


(6)
Density functional theory data (PBE-GGA) for an optimized crystal structure of ErGa6Cu4.

DOS(E_F): 2.67 states/eV per cell
Formation energy from the elements: -0.22 eV/atom

POSCAR file:
```
ErGa6Cu4
1.0
7.1456 0.0000 0.0000
-3.5728 6.1883 0.0000
0.0000 0.0000 3.9773
Er Ga Cu
1 6 4
Direct
0.0000 0.0000 0.0000
0.1961 0.3922 0.5000
0.1961 0.8039 0.5000
0.5340 0.0680 0.0000
0.5340 0.4660 0.0000
0.6078 0.8039 0.5000
0.9320 0.4660 0.0000
0.3333 0.6667 0.0000
0.4152 0.2076 0.5000
0.7924 0.2076 0.5000
0.7924 0.5848 0.5000
```


(7)
Density functional theory data (PBE-GGA) for an optimized crystal structure of Er3Ga9Cu2.

DOS(E_F): 5.56 states/eV per cell
Formation energy from the elements: -0.46 eV/atom

POSCAR file:
```
Er3Ga9Cu2
1.0
-2.0845 5.0055 6.0342
2.0845 -5.0055 6.0342
2.0845 5.0055 -6.0342
Er Ga Cu
3 9 2
Direct
0.0000 0.0000 0.0000
0.3190 0.3190 0.0000
0.6810 0.6810 0.0000
0.0348 0.6615 0.3733
0.1464 0.8691 0.2773
0.2882 0.6615 0.6267
0.4081 0.1309 0.2773
0.5000 0.0000 0.5000
0.5919 0.8691 0.7227
0.7118 0.3385 0.3733
0.8536 0.1309 0.7227
0.9652 0.3385 0.6267
0.2839 0.5000 0.7839
0.7161 0.5000 0.2161
```


(8)
Density functional theory data (PBE-GGA) for an optimized crystal structure of ErGa3Cu.

DOS(E_F): 3.51 states/eV per cell
Formation energy from the elements: -0.42 eV/atom

POSCAR file:
```
ErGa3Cu
1.0
5.4902 0.0000 0.0000
0.0000 5.7495 0.0000
-0.1766 0.0000 5.6079
Er Ga Cu
2 6 2
Direct
0.1551 0.2500 0.1676
0.8449 0.7500 0.8324
0.0668 0.7500 0.3417
0.3474 0.0049 0.6763
0.3474 0.4951 0.6763
0.6526 0.5049 0.3237
0.6526 0.9951 0.3237
0.9332 0.2500 0.6583
0.3618 0.7500 0.0346
0.6382 0.2500 0.9654
```


(9)
Density functional theory data (PBE-GGA) for an optimized crystal structure of ErGaCu6.

DOS(E_F): 2.47 states/eV per cell
Formation energy from the elements: -0.02 eV/atom

POSCAR file:
```
ErGaCu6
1.0
4.8737 0.0000 0.0000
0.0000 4.8737 0.0000
0.0000 0.0000 4.8737
Er Ga Cu
1 1 6
Direct
0.0000 0.0000 0.0000
0.5000 0.5000 0.5000
0.0000 0.2571 0.5000
0.0000 0.7429 0.5000
0.2571 0.5000 0.0000
0.5000 0.0000 0.2571
0.5000 0.0000 0.7429
0.7429 0.5000 0.0000
```


(10)
Density functional theory data (PBE-GGA) for an optimized crystal structure of Er2GaCu9.

DOS(E_F): 4.76 states/eV per cell
Formation energy from the elements: -0.10 eV/atom

POSCAR file:
```
Er2GaCu9
1.0
2.5366 1.4645 8.1763
-2.5366 1.4645 8.1763
0.0000 -2.9290 8.1763
Er Ga Cu
2 1 9
Direct
0.1350 0.1350 0.1350
0.8650 0.8650 0.8650
0.0000 0.0000 0.0000
0.0795 0.5839 0.5839
0.3331 0.3331 0.3331
0.4161 0.4161 0.9205
0.4161 0.9205 0.4161
0.5000 0.5000 0.5000
0.5839 0.0795 0.5839
0.5839 0.5839 0.0795
0.6669 0.6669 0.6669
0.9205 0.4161 0.4161
```


(11)
Density functional theory data (PBE-GGA) for an optimized crystal structure of ErGa2Cu3.

DOS(E_F): 3.89 states/eV per cell
Formation energy from the elements: -0.36 eV/atom

POSCAR file:
```
ErGa2Cu3
1.0
2.6184 -4.3463 0.0000
2.6184 4.3463 0.0000
0.0000 0.0000 4.1497
Er Ga Cu
1 2 3
Direct
0.0000 0.0000 0.0000
0.0000 0.5000 0.5000
0.5000 0.0000 0.5000
0.3384 0.6616 0.0000
0.5000 0.5000 0.5000
0.6616 0.3384 0.0000
```


(12)
Density functional theory data (PBE-GGA) for an optimized crystal structure of ErGaCu.

DOS(E_F): 2.46 states/eV per cell
Formation energy from the elements: -0.27 eV/atom

POSCAR file:
```
ErGaCu
1.0
-1.6213 1.6213 5.2810
1.6213 -1.6213 5.2810
1.6213 1.6213 -5.2810
Er Ga Cu
1 1 1
Direct
0.0000 0.0000 0.0000
0.6957 0.6957 0.0000
0.3170 0.3170 0.0000
```


For each record above, in turn, the calculated magnetic moment values are 0.00; 0.00; 0.00; 0.00; 0.00; 0.00; 0.00; 0.00; 0.00; 0.00; 0.00; 0.00 μB/atom.